w) First-principles (meta-GGA SCAN) data for Ca2LaTl at its PBEsol-relaxed geometry, as listed in Alexandria.

```
data_Ca2LaTl
_chemical_formula_sum 'Ca2 La1 Tl1'
_symmetry_space_group_name_H-M 'P 4/m m m'
_symmetry_Int_Tables_number 123
_symmetry_space_group_name_Hall '-P 4 2'
_cell_length_a 4.913
_cell_length_b 4.913
_cell_length_c 5.230
_cell_angle_alpha 90.00
_cell_angle_beta 90.00
_cell_angle_gamma 90.00
loop_
_atom_site_label
_atom_site_type_symbol
_atom_site_fract_x
_atom_site_fract_y
_atom_site_fract_z
Ca1 Ca 0.000 0.500 0.000
La1 La 0.000 0.000 0.500
Tl1 Tl 0.500 0.500 0.500
```

Calculated values
Total moment in μB per cell: 0.00

x) First-principles (meta-GGA SCAN) data for Ca2LaTl at its PBEsol-relaxed geometry, as listed in Alexandria.

```
data_Ca2LaTl
_chemical_formula_sum 'Ca2 La1 Tl1'
_symmetry_space_group_name_H-M 'P m m 2'
_symmetry_Int_Tables_number 25
_cell_length_a 3.695
_cell_length_b 4.675
_cell_length_c 7.481
_cell_angle_alpha 90.00
_cell_angle_beta 90.00
_cell_angle_gamma 90.00
loop_
_symmetry_equiv_pos_as_xyz
'x,y,z'
'-x,-y,z'
'-x,y,z'
'x,-y,z'
loop_
_atom_site_label
_atom_site_type_symbol
_atom_site_fract_x
_atom_site_fract_y
_atom_site_fract_z
Ca1 Ca 0.000 0.000 0.000
Ca2 Ca 0.500 0.500 0.282
La1 La 0.000 0.000 0.562
Tl1 Tl 0.500 0.500 0.777
```

Calculated values
Total moment in μB per cell: 0.05

Tell me which of them is the most stable. Sure, it is w).

w) First-principles (meta-GGA SCAN) data for Ca2LaZr at its PBEsol-relaxed geometry, as listed in Alexandria.

```
data_Ca2LaZr
_chemical_formula_sum 'Ca4 La2 Zr2'
_symmetry_space_group_name_H-M 'C m m m'
_symmetry_Int_Tables_number 65
_symmetry_space_group_name_Hall '-C 2 2'
_cell_length_a 6.788
_cell_length_b 10.777
_cell_length_c 3.368
_cell_angle_alpha 90.00
_cell_angle_beta 90.00
_cell_angle_gamma 90.00
loop_
_atom_site_label
_atom_site_type_symbol
_atom_site_fract_x
_atom_site_fract_y
_atom_site_fract_z
Ca1 Ca 0.250 0.250 0.000
La1 La 0.000 0.000 0.500
Zr1 Zr 0.000 0.500 0.500
```

Calculated values
Total moment in μB per cell: 1.64

x) First-principles (meta-GGA SCAN) data for Ca2LaZr at its PBEsol-relaxed geometry, as listed in Alexandria.

```
data_Ca2LaZr
_chemical_formula_sum 'Ca2 La1 Zr1'
_symmetry_space_group_name_H-M 'P 4 m m'
_symmetry_Int_Tables_number 99
_cell_length_a 3.470
_cell_length_b 3.470
_cell_length_c 10.832
_cell_angle_alpha 90.00
_cell_angle_beta 90.00
_cell_angle_gamma 90.00
loop_
_symmetry_equiv_pos_as_xyz
'x,y,z'
'-y,x,z'
'-x,-y,z'
'y,-x,z'
'-x,y,z'
'y,x,z'
'x,-y,z'
'-y,-x,z'
loop_
_atom_site_label
_atom_site_type_symbol
_atom_site_fract_x
_atom_site_fract_y
_atom_site_fract_z
Ca1 Ca 0.000 0.000 0.000
Ca2 Ca 0.500 0.500 0.280
La1 La 0.000 0.000 0.561
Zr1 Zr 0.500 0.500 0.766
```

Calculated values
Total moment in μB per cell: 0.19

Tell me which of them is the most stable. Sure, it is x).

w) First-principles (meta-GGA SCAN) data for Li5Ca at its PBEsol-relaxed geometry, as listed in Alexandria.

```
data_Li5Ca
_chemical_formula_sum 'Li10 Ca2'
_symmetry_space_group_name_H-M 'C 1 2/m 1'
_symmetry_Int_Tables_number 12
_cell_length_a 11.448
_cell_length_b 3.724
_cell_length_c 7.025
_cell_angle_alpha 90.00
_cell_angle_beta 107.53
_cell_angle_gamma 90.00
loop_
_symmetry_equiv_pos_as_xyz
'x,y,z'
'-x,-y,-z'
'-x,y,-z'
'x,-y,z'
'x+1/2,y+1/2,z'
'-x+1/2,-y+1/2,-z'
'-x+1/2,y+1/2,-z'
'x+1/2,-y+1/2,z'
loop_
_atom_site_label
_atom_site_type_symbol
_atom_site_fract_x
_atom_site_fract_y
_atom_site_fract_z
Li1 Li 0.000 0.000 0.000
Li2 Li 0.170 0.500 0.870
Li3 Li 0.186 0.500 0.313
Ca1 Ca 0.000 0.000 0.500
```

Calculated values
Total moment in μB per cell: 0.64

x) First-principles (meta-GGA SCAN) data for Li5Ca at its PBEsol-relaxed geometry, as listed in Alexandria.

```
data_Li5Ca
_chemical_formula_sum 'Li10 Ca2'
_symmetry_space_group_name_H-M 'C m m m'
_symmetry_Int_Tables_number 65
_symmetry_space_group_name_Hall '-C 2 2'
_cell_length_a 4.720
_cell_length_b 13.170
_cell_length_c 4.613
_cell_angle_alpha 90.00
_cell_angle_beta 90.00
_cell_angle_gamma 90.00
loop_
_atom_site_label
_atom_site_type_symbol
_atom_site_fract_x
_atom_site_fract_y
_atom_site_fract_z
Li1 Li 0.000 0.000 0.000
Li2 Li 0.000 0.177 0.500
Li3 Li 0.000 0.317 0.000
Ca1 Ca 0.000 0.500 0.500
```

Calculated values
Total moment in μB per cell: 0.69

Tell me which of them is the most stable. Sure, it is w).

w) First-principles (meta-GGA SCAN) data for Li3Ca at its PBEsol-relaxed geometry, as listed in Alexandria.

```
data_Li3Ca
_chemical_formula_sum 'Li18 Ca6'
_symmetry_space_group_name_H-M 'P 63/m m c'
_symmetry_Int_Tables_number 194
_symmetry_space_group_name_Hall '-P 6c 2c'
_cell_length_a 6.7399
_cell_length_b 6.7399
_cell_length_c 15.8359
_cell_angle_alpha 90.00
_cell_angle_beta 90.00
_cell_angle_gamma 120.00
loop_
_atom_site_label
_atom_site_type_symbol
_atom_site_fract_x
_atom_site_fract_y
_atom_site_fract_z
Li1 Li 0.0506 0.5253 0.2500
Li2 Li 0.1732 0.3464 0.0769
Ca1 Ca 0.0000 0.0000 0.2500
Ca2 Ca 0.3333 0.6667 0.6019
```

Calculated values
Total moment in μB per cell: 0.16

x) First-principles (meta-GGA SCAN) data for Li3Ca at its PBEsol-relaxed geometry, as listed in Alexandria.

```
data_Li3Ca
_chemical_formula_sum 'Li6 Ca2'
_symmetry_space_group_name_H-M 'I m m m'
_symmetry_Int_Tables_number 71
_symmetry_space_group_name_Hall '-I 2 2'
_cell_length_a 3.852
_cell_length_b 5.245
_cell_length_c 10.194
_cell_angle_alpha 90.00
_cell_angle_beta 90.00
_cell_angle_gamma 90.00
loop_
_atom_site_label
_atom_site_type_symbol
_atom_site_fract_x
_atom_site_fract_y
_atom_site_fract_z
Li1 Li 0.000 0.000 0.000
Li2 Li 0.000 0.500 0.272
Ca1 Ca 0.000 0.000 0.500
```

Calculated values
Total moment in μB per cell: 0.50

Tell me which of them is the most stable. Sure, it is w).

w) First-principles (meta-GGA SCAN) data for Li3Ca at its PBEsol-relaxed geometry, as listed in Alexandria.

```
data_Li3Ca
_chemical_formula_sum 'Li3 Ca1'
_symmetry_space_group_name_H-M 'P 4/m m m'
_symmetry_Int_Tables_number 123
_symmetry_space_group_name_Hall '-P 4 2'
_cell_length_a 4.736
_cell_length_b 4.736
_cell_length_c 4.726
_cell_angle_alpha 90.00
_cell_angle_beta 90.00
_cell_angle_gamma 90.00
loop_
_atom_site_label
_atom_site_type_symbol
_atom_site_fract_x
_atom_site_fract_y
_atom_site_fract_z
Li1 Li 0.000 0.000 0.000
Li2 Li 0.000 0.500 0.500
Ca1 Ca 0.500 0.500 0.000
```

Calculated values
Total moment in μB per cell: 0.57

x) First-principles (meta-GGA SCAN) data for Li3Ca at its PBEsol-relaxed geometry, as listed in Alexandria.

```
data_Li3Ca
_chemical_formula_sum 'Li6 Ca2'
_symmetry_space_group_name_H-M 'I 4/m m m'
_symmetry_Int_Tables_number 139
_symmetry_space_group_name_Hall '-I 4 2'
_cell_length_a 4.629
_cell_length_b 4.629
_cell_length_c 9.573
_cell_angle_alpha 90.00
_cell_angle_beta 90.00
_cell_angle_gamma 90.00
loop_
_atom_site_label
_atom_site_type_symbol
_atom_site_fract_x
_atom_site_fract_y
_atom_site_fract_z
Li1 Li 0.000 0.000 0.000
Li2 Li 0.000 0.500 0.250
Ca1 Ca 0.000 0.000 0.500
```

Calculated values
Total moment in μB per cell: 0.53

y) First-principles (meta-GGA SCAN) data for Li3Ca at its PBEsol-relaxed geometry, as listed in Alexandria.

```
data_Li3Ca
_chemical_formula_sum 'Li12 Ca4'
_symmetry_space_group_name_H-M 'F m -3 m'
_symmetry_Int_Tables_number 225
_symmetry_space_group_name_Hall '-F 4 2 3'
_cell_length_a 7.441
_cell_length_b 7.441
_cell_length_c 7.441
_cell_angle_alpha 90.00
_cell_angle_beta 90.00
_cell_angle_gamma 90.00
loop_
_atom_site_label
_atom_site_type_symbol
_atom_site_fract_x
_atom_site_fract_y
_atom_site_fract_z
Li1 Li 0.000 0.000 0.000
Li2 Li 0.250 0.250 0.250
Ca1 Ca 0.000 0.000 0.500
```

Calculated values
Total moment in μB per cell: 0.25

z) First-principles (meta-GGA SCAN) data for Li3Ca at its PBEsol-relaxed geometry, as listed in Alexandria.

```
data_Li3Ca
_chemical_formula_sum 'Li3 Ca1'
_symmetry_space_group_name_H-M 'P m m 2'
_symmetry_Int_Tables_number 25
_cell_length_a 3.534
_cell_length_b 5.259
_cell_length_c 5.665
_cell_angle_alpha 90.00
_cell_angle_beta 90.00
_cell_angle_gamma 90.00
loop_
_symmetry_equiv_pos_as_xyz
'x,y,z'
'-x,-y,z'
'-x,y,z'
'x,-y,z'
loop_
_atom_site_label
_atom_site_type_symbol
_atom_site_fract_x
_atom_site_fract_y
_atom_site_fract_z
Li1 Li 0.000 0.000 0.000
Li2 Li 0.000 0.500 0.317
Li3 Li 0.500 0.500 0.876
Ca1 Ca 0.500 0.000 0.500
```

Calculated values
Total moment in μB per cell: 0.15

Tell me which of them is the most stable. Sure, it is x).

w) First-principles (meta-GGA SCAN) data for Li2Ca2Mg at its PBEsol-relaxed geometry, as listed in Alexandria.

```
data_Li2Ca2Mg
_chemical_formula_sum 'Li4 Ca4 Mg2'
_symmetry_space_group_name_H-M 'P 4/m b m'
_symmetry_Int_Tables_number 127
_symmetry_space_group_name_Hall '-P 4 2ab'
_cell_length_a 7.867
_cell_length_b 7.867
_cell_length_c 4.618
_cell_angle_alpha 90.00
_cell_angle_beta 90.00
_cell_angle_gamma 90.00
loop_
_atom_site_label
_atom_site_type_symbol
_atom_site_fract_x
_atom_site_fract_y
_atom_site_fract_z
Li1 Li 0.125 0.375 0.000
Ca1 Ca 0.180 0.680 0.500
Mg1 Mg 0.000 0.000 0.000
```

Calculated values
Total moment in μB per cell: 0.34

x) First-principles (meta-GGA SCAN) data for Li2Ca2Mg at its PBEsol-relaxed geometry, as listed in Alexandria.

```
data_Li2Ca2Mg
_chemical_formula_sum 'Li4 Ca4 Mg2'
_symmetry_space_group_name_H-M 'I 4/m m m'
_symmetry_Int_Tables_number 139
_symmetry_space_group_name_Hall '-I 4 2'
_cell_length_a 3.896
_cell_length_b 3.896
_cell_length_c 19.056
_cell_angle_alpha 90.00
_cell_angle_beta 90.00
_cell_angle_gamma 90.00
loop_
_atom_site_label
_atom_site_type_symbol
_atom_site_fract_x
_atom_site_fract_y
_atom_site_fract_z
Li1 Li 0.000 0.500 0.250
Ca1 Ca 0.000 0.000 0.103
Mg1 Mg 0.000 0.000 0.500
```

Calculated values
Total moment in μB per cell: 0.47

Tell me which of them is the most stable. Sure, it is w).